Record 1
PBE Lu2CdBi, optimized geometry; crystal system = trigonal; total DFT energy (no corrections) = -3.7393 eV per atom; N(E_F) = 3.01 states/eV per cell; polymorph energy (0 for the lowest one) = 0.39 eV/f.u.; space group = No. 166
1.0
2.0916 1.2076 7.7495
-2.0916 1.2076 7.7495
0.0000 -2.4151 7.7495
Lu Cd Bi
2 1 1
Cartesian
0.0000 0.0000 5.7560
0.0000 0.0000 17.4925
0.0000 0.0000 0.0000
0.0000 0.0000 11.6243

***

Record 2
PBE Y2Cd3Hg3, optimized geometry; crystal system = trigonal; total DFT energy (no corrections) = -2.4234 eV per atom; N(E_F) = 3.37 states/eV per cell; space group = No. 160
1.0
2.5465 1.4702 8.3355
-2.5465 1.4702 8.3355
0.0000 -2.9405 8.3355
Y Cd Hg
2 3 3
Cartesian
0.0000 0.0000 0.0000
0.0000 0.0000 12.3903
0.0000 0.0000 6.1834
0.0000 0.0000 18.7156
0.0000 0.0000 21.8547
0.0000 0.0000 3.1153
0.0000 0.0000 9.2974
0.0000 0.0000 15.5234

***

Record 3
PBE Tb3NdMn, optimized geometry; crystal system = cubic; total DFT energy (no corrections) = -5.3286 eV per atom; N(E_F) = 9.58 states/eV per cell; space group = No. 221
1.0
5.3514 0.0000 0.0000
0.0000 5.3514 0.0000
0.0000 0.0000 5.3514
Tb Nd Mn
3 1 1
Cartesian
0.0000 0.0000 2.6757
0.0000 2.6757 0.0000
2.6757 0.0000 0.0000
2.6757 2.6757 2.6757
0.0000 0.0000 0.0000

***

Record 4
PBE InCu2Tc, optimized geometry; crystal system = monoclinic; total DFT energy (no corrections) = -5.0453 eV per atom; N(E_F) = 3.19 states/eV per cell; space group = No. 6
1.0
2.7625 0.0000 0.0000
0.0000 4.2013 0.0000
-1.3720 0.0000 5.1464
In Cu Tc
1 2 1
Cartesian
0.0000 0.0000 0.0000
0.0064 0.0000 2.6241
0.0045 2.1007 3.9186
1.3862 2.1007 1.5487

***

Record 5
PBE K2Cd3S4, optimized geometry; formation energy without anion corrections = -0.846 eV per atom; crystal system = orthorhombic; total DFT energy (no corrections) = -3.2289 eV per atom; N(E_F) = 0.00 states/eV per cell; space group = No. 62
1.0
14.0027 0.0000 0.0000
0.0000 10.3712 0.0000
0.0000 0.0000 6.7375
K Cd S
8 12 16
Cartesian
0.0000 0.0000 0.0000
0.0000 5.1856 0.0000
0.4318 2.5928 3.2548
6.5695 7.7784 6.6235
7.0014 0.0000 3.3688
7.0014 5.1856 3.3688
7.4332 2.5928 0.1140
13.5709 7.7784 3.4828
2.8493 7.7784 1.4523
3.4761 0.9613 1.0452
3.4761 4.2243 1.0452
3.5253 6.1469 4.4139
3.5253 9.4099 4.4139
4.1521 2.5928 4.8210
9.8506 7.7784 1.9165
10.4774 0.9613 2.3236
10.4774 4.2243 2.3236
10.5267 6.1469 5.6924
10.5267 9.4099 5.6924
11.1535 2.5928 5.2853
1.8937 5.5250 2.5251
1.8937 10.0318 2.5251
1.9935 2.5928 6.2360
2.0376 7.7784 5.8062
4.9637 2.5928 2.4375
5.0079 7.7784 2.8673
5.1076 0.3394 5.8939
5.1076 4.8462 5.8939
8.8951 5.5250 0.8436
8.8951 10.0318 0.8436
8.9949 2.5928 3.8702
9.0390 7.7784 4.3001
11.9651 2.5928 0.9313
12.0092 7.7784 0.5015
12.1090 0.3394 4.2124
12.1090 4.8462 4.2124

***

Record 6
PBE In5Pb4, optimized geometry; crystal system = tetragonal; total DFT energy (no corrections) = -3.1495 eV per atom; N(E_F) = 3.54 states/eV per cell; polymorph energy (0 for the lowest one) = 0.00 eV/f.u.; space group = No. 139
1.0
-5.2488 5.2488 2.3902
5.2488 -5.2488 2.3902
5.2488 5.2488 -2.3902
In Pb
5 4
Cartesian
0.0000 0.0000 0.0000
3.5199 3.5199 0.0000
1.7289 -1.7289 2.3902
-1.7289 1.7289 2.3902
1.7289 1.7289 2.3902
3.4557 0.0000 0.0000
7.0419 0.0000 0.0000
0.0000 3.4557 0.0000
0.0000 7.0419 0.0000

***

Record 7
PBE InGa2ReB, optimized geometry; crystal system = tetragonal; total DFT energy (no corrections) = -4.9866 eV per atom; N(E_F) = 3.73 states/eV per cell; space group = No. 123
1.0
4.3877 0.0000 0.0000
0.0000 4.3877 0.0000
0.0000 0.0000 4.2042
In Ga Re B
1 2 1 1
Cartesian
0.0000 0.0000 0.0000
0.0000 2.1939 2.1021
2.1939 0.0000 2.1021
2.1939 2.1939 0.0000
2.1939 2.1939 2.1021

***

Record 8
PBE RbCa4, optimized geometry; crystal system = cubic; total DFT energy (no corrections) = -0.9732 eV per atom; N(E_F) = 10.02 states/eV per cell; space group = No. 221
1.0
6.3196 0.0000 0.0000
0.0000 6.3196 0.0000
0.0000 0.0000 6.3196
Rb Ca
1 4
Cartesian
0.0000 0.0000 0.0000
0.0000 0.0000 3.1598
0.0000 3.1598 0.0000
3.1598 0.0000 0.0000
3.1598 3.1598 3.1598